# 1
Material: Pr3Mg2Hg4
Method: DFT, GGA-PBE
State: optimized geometry

Values from the calculation:
The energy of formation is -395.5 meV per atom. The density of states at the Fermi level comes out at 12.976 states/eV per cell.

Unit cell a=11.359 b=5.064 c=9.427 alpha=90.00 beta=119.76 gamma=90.00
Space group C2/m (No. 12)
Symmetry-distinct sites (fractional):
Pr 0.000 0.000 0.000
Pr 0.158 0.500 0.675
Mg 0.127 0.500 0.296
Hg 0.069 0.000 0.395
Hg 0.212 0.500 0.057

---

# 2
Material: PrMg3Hg
Method: DFT, GGA-PBE
State: optimized geometry

Values from the calculation:
The energy of formation is -203.6 meV per atom. The density of states at the Fermi level comes out at 7.020 states/eV per cell.

Unit cell a=7.494 b=4.575 c=7.796 alpha=90.00 beta=105.63 gamma=90.00
Space group P2_1/m (No. 11)
Symmetry-distinct sites (fractional):
Pr 0.191 0.250 0.164
Mg 0.077 0.250 0.650
Mg 0.314 0.750 0.891
Mg 0.339 0.750 0.517
Hg 0.474 0.250 0.750

---

# 3
Material: PrMg4Hg2
Method: DFT, GGA-PBE
State: optimized geometry

Values from the calculation:
The energy of formation is -271.8 meV per atom. The density of states at the Fermi level comes out at 8.638 states/eV per cell.

Unit cell a=8.487 b=8.487 c=4.669 alpha=90.00 beta=90.00 gamma=90.00
Space group P4_2/mnm (No. 136)
Symmetry-distinct sites (fractional):
Pr 0.000 0.000 0.000
Mg 0.093 0.342 0.500
Hg 0.215 0.785 0.500

---

# 4
Material: Pr6MgHg
Method: DFT, GGA-PBE
State: optimized geometry

Values from the calculation:
The energy of formation is -57.7 meV per atom. For the energy above the most stable polymorph in this dataset, the calculation gives 74.4 meV per atom. The density of states at the Fermi level comes out at 9.304 states/eV per cell.

Unit cell a=6.420 b=6.421 c=6.425 alpha=93.01 beta=93.15 gamma=93.11
Space group P-1 (No. 2)
Symmetry-distinct sites (fractional):
Pr 0.030 0.255 0.047
Pr 0.245 0.954 0.469
Pr 0.454 0.469 0.745
Mg 0.500 0.000 0.000
Hg 0.000 0.500 0.500

---

# 5
Material: Pr3Mg4Hg2
Method: DFT, GGA-PBE
State: optimized geometry

Values from the calculation:
The energy of formation is -268.3 meV per atom. The density of states at the Fermi level comes out at 13.067 states/eV per cell.

Unit cell a=11.273 b=5.175 c=9.629 alpha=90.00 beta=122.05 gamma=90.00
Space group C2/m (No. 12)
Symmetry-distinct sites (fractional):
Pr 0.000 0.000 0.000
Pr 0.161 0.500 0.670
Mg 0.071 0.000 0.399
Mg 0.214 0.500 0.053
Hg 0.112 0.500 0.278

---

# 6
Material: Pr6MgHg
Method: DFT, GGA-PBE
State: optimized geometry

Values from the calculation:
The energy of formation is -132.2 meV per atom. For the energy above the most stable polymorph in this dataset, the calculation gives 0.0 meV per atom. The density of states at the Fermi level comes out at 18.772 states/eV per cell.

Unit cell a=5.328 b=5.328 c=18.463 alpha=90.00 beta=90.00 gamma=90.00
Space group I4/mmm (No. 139)
Symmetry-distinct sites (fractional):
Pr 0.000 0.000 0.249
Pr 0.000 0.500 0.112
Mg 0.000 0.000 0.000
Hg 0.000 0.000 0.500

---

no.,magnetization (μB/cell)
1,0.0
2,0.0
3,0.0
4,0.0
5,0.0
6,0.0